No. 1
The following is a DFT calculation (PBE) of a relaxed structure of YTc.

Summary:
SG = P2_12_12_1
DFT formation energy = -0.2 kJ per mole of atoms

abc: 5.643 5.851 10.904
angles: 90.00 90.00 90.00
Positions (direct):
Y  0.113  0.408  0.017
Y  0.613  0.092  0.983
Y  0.887  0.908  0.483
Y  0.387  0.592  0.517
Y  0.119  0.850  0.809
Y  0.619  0.650  0.191
Y  0.881  0.350  0.691
Y  0.381  0.150  0.309
Tc  0.600  0.602  0.910
Tc  0.100  0.898  0.090
Tc  0.400  0.102  0.590
Tc  0.900  0.398  0.410
Tc  0.397  0.353  0.768
Tc  0.897  0.147  0.232
Tc  0.603  0.853  0.732
Tc  0.103  0.647  0.268


No. 2
The following is a DFT calculation (PBE) of a relaxed structure of Y6Tc7.

Summary:
SG = R-3m
DFT formation energy = -3.2 kJ per mole of atoms

abc: 11.175 11.175 11.175
angles: 27.65 27.65 27.65
Positions (direct):
Y  0.950  0.950  0.950
Y  0.050  0.050  0.050
Y  0.850  0.850  0.850
Y  0.150  0.150  0.150
Y  0.666  0.666  0.666
Y  0.334  0.334  0.334
Tc  0.908  0.403  0.403
Tc  0.403  0.403  0.908
Tc  0.403  0.908  0.403
Tc  0.092  0.597  0.597
Tc  0.597  0.092  0.597
Tc  0.597  0.597  0.092
Tc  0.500  0.500  0.500


No. 3
The following is a DFT calculation (PBE) of a relaxed structure of Y3Tc2.

Summary:
SG = P-3m1
DFT formation energy = 20.0 kJ per mole of atoms

abc: 4.948 4.948 5.722
angles: 90.00 90.00 120.00
Positions (direct):
Y  0.000  0.000  0.000
Y  0.667  0.333  0.640
Y  0.333  0.667  0.360
Tc  0.667  0.333  0.105
Tc  0.333  0.667  0.895


No. 4
The following is a DFT calculation (PBE) of a relaxed structure of YTc3.

Summary:
SG = Cmcm
DFT formation energy = 22.3 kJ per mole of atoms

abc: 5.722 5.722 4.428
angles: 90.00 90.00 108.92
Positions (direct):
Y  0.629  0.371  0.250
Y  0.371  0.629  0.750
Tc  0.356  0.106  0.750
Tc  0.890  0.110  0.750
Tc  0.106  0.356  0.250
Tc  0.894  0.644  0.750
Tc  0.110  0.890  0.250
Tc  0.644  0.894  0.250


No. 5
The following is a DFT calculation (PBE) of a relaxed structure of YTc.

Summary:
SG = P6_3/mmc
DFT formation energy = 0.1 kJ per mole of atoms

abc: 8.173 8.173 4.789
angles: 90.00 90.00 120.00
Positions (direct):
Y  0.822  0.644  0.250
Y  0.178  0.822  0.750
Y  0.356  0.178  0.250
Y  0.178  0.356  0.750
Y  0.822  0.178  0.250
Y  0.644  0.822  0.750
Tc  0.436  0.872  0.250
Tc  0.564  0.436  0.750
Tc  0.128  0.564  0.250
Tc  0.564  0.128  0.750
Tc  0.436  0.564  0.250
Tc  0.872  0.436  0.750


No. 6
The following is a DFT calculation (PBE) of a relaxed structure of YZnTc.

Summary:
SG = F-43m
DFT formation energy = 100.5 kJ per mole of atoms

abc: 4.660 4.660 4.660
angles: 60.00 60.00 60.00
Positions (direct):
Tc  0.500  0.500  0.500
Y  0.750  0.750  0.750
Zn  0.000  0.000  0.000


No. 7
The following is a DFT calculation (PBE) of a relaxed structure of Y2ZnTc.

Summary:
SG = I-42d
DFT formation energy = 62.8 kJ per mole of atoms

abc: 4.427 4.427 10.110
angles: 77.35 77.35 90.00
Positions (direct):
Y  0.638  0.125  0.250
Y  0.112  0.625  0.250
Y  0.375  0.362  0.750
Y  0.875  0.888  0.750
Zn  0.500  0.500  0.000
Zn  0.250  0.750  0.500
Tc  0.000  0.000  0.000
Tc  0.750  0.250  0.500


No. 8
The following is a DFT calculation (PBE) of a relaxed structure of YZnTc2.

Summary:
SG = C2/m
DFT formation energy = 27.2 kJ per mole of atoms

abc: 5.439 5.439 2.850
angles: 78.29 78.29 117.93
Positions (direct):
Tc  0.000  0.000  0.000
Tc  0.500  0.500  0.000
Y  0.500  0.000  0.500
Zn  0.000  0.500  0.500


No. 9
The following is a DFT calculation (PBE) of a relaxed structure of Y8Zn2Tc.

Summary:
SG = Immm
DFT formation energy = -2.1 kJ per mole of atoms

abc: 5.023 8.370 8.486
angles: 119.55 107.21 90.00
Positions (direct):
Y  0.653  0.880  0.306
Y  0.347  0.573  0.693
Y  0.123  0.123  0.247
Y  0.000  0.333  0.000
Y  0.877  0.877  0.753
Y  0.653  0.427  0.307
Y  0.347  0.120  0.694
Y  0.000  0.667  0.000
Zn  0.197  0.697  0.394
Zn  0.803  0.303  0.606
Tc  0.500  0.000  0.000


No. 10
The following is a DFT calculation (PBE) of a relaxed structure of Y2ZnTc.

Summary:
SG = Imm2
DFT formation energy = -2.9 kJ per mole of atoms

abc: 5.873 5.873 5.873
angles: 144.50 131.87 61.22
Positions (direct):
Tc  0.277  0.777  0.500
Y  0.023  0.023  0.000
Y  0.736  0.236  0.500
Zn  0.464  0.464  0.000


No. 11
The following is a DFT calculation (PBE) of a relaxed structure of YZnTc2.

Summary:
SG = C2/m
DFT formation energy = 13.3 kJ per mole of atoms

abc: 4.961 4.961 4.884
angles: 72.68 72.68 44.24
Positions (direct):
Tc  0.985  0.985  0.114
Tc  0.515  0.515  0.386
Y  0.750  0.750  0.750
Zn  0.250  0.250  0.250


No. 12
The following is a DFT calculation (PBE) of a relaxed structure of YZnTc2.

Summary:
SG = R3m
DFT formation energy = 27.7 kJ per mole of atoms

abc: 9.634 9.634 9.634
angles: 17.45 17.45 17.45
Positions (direct):
Tc  0.997  0.997  0.997
Tc  0.261  0.261  0.261
Y  0.501  0.501  0.501
Zn  0.741  0.741  0.741